## FeAsOsPd (PBE-GGA)

Data for crystalline FeAsOsPd at its relaxed geometry.

Summary:
Volume (Å³/f.u.): 56.8
Symmetry: No. 216
Total DFT energy (no corrections) (hartree per atom): -0.2599

Unit cell a=4.3141 b=4.3141 c=4.3141 alpha=60.00 beta=60.00 gamma=60.00
Closest atoms and distances in Å follow each position.
Fractional positions:
As (0.0000, 0.0000, 0.0000)  4 Os 2.64, 4 Fe 2.64
Os (0.2500, 0.2500, 0.2500)  4 Pd 2.64, 4 As 2.64
Pd (0.5000, 0.5000, 0.5000)  4 Os 2.64, 4 Fe 2.64
Fe (0.7500, 0.7500, 0.7500)  4 Pd 2.64, 4 As 2.64